## Ac3GePd8Pb2 (PBE)

Data for a geometry-optimized Ac3GePd8Pb2 structure.

Magnetic moment   0.00 μB per cell
Crystal system   trigonal
Energy of formation from the pure elements   -598 meV per atom

a b c (Å): 5.731 5.731 10.876
angles (deg): 90.00 90.00 120.00
Fractional positions:
Pd (0.667, 0.333, 0.146)
Pd (0.163, 0.327, 0.306)
Ac (0.667, 0.333, 0.419)
Pd (0.837, 0.163, 0.694)
Ac (0.333, 0.667, 0.581)
Pd (0.673, 0.837, 0.306)
Pb (0.333, 0.667, 0.107)
Pb (0.667, 0.333, 0.893)
Pd (0.163, 0.837, 0.306)
Pd (0.333, 0.667, 0.854)
Pd (0.327, 0.163, 0.694)
Ge (0.000, 0.000, 0.500)
Ac (0.000, 0.000, 0.000)
Pd (0.837, 0.673, 0.694)